[1]
SrSiNi2 | PBE | optimized geometry

Unit cell a=5.503 b=5.503 c=5.503 alpha=147.86 beta=128.99 gamma=61.58
Positions (direct):
Sr 0.000 0.000 0.000
Si 0.717 0.217 0.500
Ni 0.292 0.792 0.500
Ni 0.532 0.532 0.000

Formation energy without anion corrections in eV/atom: 0.155



[2]
SrPd3Pb | PBE | optimized geometry

Unit cell a=5.143 b=5.143 c=5.143 alpha=90.00 beta=90.00 gamma=90.00
Positions (direct):
Sr 0.000 0.000 0.000
Pd 0.000 0.500 0.500
Pd 0.500 0.000 0.500
Pd 0.500 0.500 0.000
Pb 0.500 0.500 0.500

Energy of formation from the pure elements in eV/atom: -0.033
ΔE to the lowest computed polymorph in meV per atom: 385



[3]
Dy2Er8Sc3 | PBE | optimized geometry

Unit cell a=8.434 b=8.434 c=6.510 alpha=97.22 beta=97.22 gamma=61.88
Positions (direct):
Dy 0.201 0.201 0.282
Dy 0.799 0.799 0.718
Er 0.194 0.194 0.788
Er 0.208 0.573 0.573
Er 0.413 0.413 0.116
Er 0.427 0.792 0.427
Er 0.573 0.208 0.573
Er 0.587 0.587 0.884
Er 0.792 0.427 0.427
Er 0.806 0.806 0.212
Sc 0.000 0.000 0.500
Sc 0.165 0.835 0.000
Sc 0.835 0.165 0.000

Energy of formation from the pure elements in eV/atom: 0.261
ΔE to the lowest computed polymorph in meV per atom: 188



[4]
Ho4Er3Cd4 | PBE | optimized geometry

Unit cell a=16.904 b=16.904 c=16.904 alpha=168.21 beta=161.95 gamma=21.61
Positions (direct):
Ho 0.091 0.091 0.000
Ho 0.268 0.768 0.500
Ho 0.732 0.232 0.500
Ho 0.909 0.909 0.000
Er 0.000 0.500 0.500
Er 0.363 0.363 0.000
Er 0.637 0.637 0.000
Cd 0.182 0.182 0.000
Cd 0.456 0.956 0.500
Cd 0.544 0.044 0.500
Cd 0.818 0.818 0.000

Energy of formation from the pure elements in eV/atom: -0.061